No. 1
DFT (PBEsol) results for a relaxed structure of NaCe3GeS7.

Results
- magnetization (μB per atom) = 0.252
- symmetry = P6_3
- formation energy without anion corrections (meV per atom) = -1480
- density of states at the Fermi level (states/eV per cell) = 42.494
- total DFT energy (no corrections) (eV per atom) = -6.2148

Unit cell a=5.7648 b=10.0816 c=10.0816 alpha=120.00 beta=90.00 gamma=90.00
Closest atoms and distances in Å follow each position.
Fractional positions:
S  0.7335  0.2618  0.1674  2 Na 2.72-2.73, 3 Ce 2.86-2.92
S  0.9881  0.5830  0.4827  1 Ge 2.25
S  0.7335  0.8326  0.0944  2 Na 2.72-2.73, 3 Ce 2.86-2.92
S  0.9484  0.3333  0.6667  1 Ge 2.21
S  0.9881  0.8996  0.4170  1 Ge 2.25
S  0.2335  0.7382  0.8326  2 Na 2.72-2.73, 3 Ce 2.86-2.92
S  0.9881  0.5173  0.1004  1 Ge 2.25
S  0.4881  0.4170  0.5173  1 Ge 2.25
S  0.4881  0.1004  0.5830  1 Ge 2.25
S  0.7335  0.9056  0.7382  2 Na 2.72-2.73, 3 Ce 2.86-2.92
S  0.2335  0.1674  0.9056  2 Na 2.72-2.73, 3 Ce 2.86-2.92
S  0.2335  0.0944  0.2618  2 Na 2.72-2.73, 3 Ce 2.86-2.92
S  0.4881  0.4827  0.8996  1 Ge 2.25
S  0.4484  0.6667  0.3333  1 Ge 2.21
Ce  0.7506  0.2323  0.8700  8 S 2.83-3.11
Ce  0.2506  0.3622  0.2323  8 S 2.83-3.11
Ce  0.2506  0.8700  0.6378  8 S 2.83-3.11
Ce  0.2506  0.7677  0.1300  8 S 2.83-3.11
Ce  0.7506  0.1300  0.3622  8 S 2.83-3.11
Ce  0.7506  0.6378  0.7677  8 S 2.83-3.11
Na  0.4851  0.0000  0.0000  6 S 2.72-2.73, 2 Na 2.88
Na  0.9851  0.0000  0.0000  6 S 2.72-2.73, 2 Na 2.88
Ge  0.8317  0.6667  0.3333  4 S 2.21-2.25
Ge  0.3317  0.3333  0.6667  4 S 2.21-2.25

***

No. 2
DFT (PBEsol) results for a relaxed structure of SiAgIr.

Results
- magnetization (μB per atom) = 0.000
- polymorph energy (0 for the lowest one) (eV/atom) = 0.0000
- symmetry = I4mm
- formation energy without anion corrections (meV per atom) = -123
- density of states at the Fermi level (states/eV per cell) = 1.260
- total DFT energy (no corrections) (eV per atom) = -6.4165

Unit cell a=2.9303 b=2.9303 c=5.5530 alpha=105.30 beta=105.30 gamma=90.00
Closest atoms and distances in Å follow each position.
Fractional positions:
Ir  0.6941  0.6941  0.3881  4 Si 2.41
Si  0.3143  0.3143  0.6287  4 Ir 2.41
Ag  0.9916  0.9916  0.9832  4 Si 2.76, 4 Ag 2.93, 5 Ir 2.94-3.07

***

No. 3
DFT (PBEsol) results for a relaxed structure of BePHS2.

Results
- magnetization (μB per atom) = 0.150
- symmetry = P4/mmm
- density of states at the Fermi level (states/eV per cell) = 3.224
- total DFT energy (no corrections) (eV per atom) = -3.4261

Unit cell a=4.1734 b=4.2316 c=4.2316 alpha=90.00 beta=90.00 gamma=90.00
Closest atoms and distances in Å follow each position.
Fractional positions:
H  0.5000  0.5000  0.5000  8 S 2.97, 4 P 2.99
Be  0.0000  0.0000  0.0000  2 P 2.09, 4 S 2.12
P  0.5000  0.0000  0.0000  2 Be 2.09
S  0.0000  0.0000  0.5000  2 Be 2.12
S  0.0000  0.5000  0.0000  2 Be 2.12

***

No. 4
DFT (PBEsol) results for a relaxed structure of Tl2HgSb.

Results
- magnetization (μB per atom) = 0.000
- polymorph energy (0 for the lowest one) (eV/atom) = 0.0359
- symmetry = P4/mmm
- formation energy without anion corrections (meV per atom) = 32
- density of states at the Fermi level (states/eV per cell) = 1.718
- total DFT energy (no corrections) (eV per atom) = -2.5644

Unit cell a=4.5433 b=4.5433 c=5.1781 alpha=90.00 beta=90.00 gamma=90.00
Closest atoms and distances in Å follow each position.
Fractional positions:
Hg  0.5000  0.5000  0.5000  4 Sb 3.21, 8 Tl 3.44
Tl  0.0000  0.5000  0.0000  4 Tl 3.21, 4 Hg 3.44, 4 Sb 3.44
Tl  0.5000  0.0000  0.0000  4 Tl 3.21, 4 Hg 3.44, 4 Sb 3.44
Sb  0.0000  0.0000  0.5000  4 Hg 3.21, 8 Tl 3.44

***

- magnetization of number 3 (BePHS2)?
  0.150 μB per atom

***

- The highest density of states at the Fermi level belongs to which entry?
  NaCe3GeS7